The following is a PBE-GGA calculation of BaTaIn2 after structural relaxation, from Alexandria via LeMat-Bulk.

## Properties
The energy above the most stable polymorph in this dataset is 0.4704 eV per atom. Its density of states at the Fermi level is 4.02 states/eV per cell. The symmetry is P4/mmm (123). As for the total moment: 1.6 Bohr magnetons per cell. For the theoretical density, the calculation gives 8.12 Mg/m³. The energy of formation comes out at 14.631 kcal/mol of atoms.

Cell lengths 4.9161, 4.9161, 4.6376 Å; angles 90.00, 90.00, 90.00 degrees
Sites, in units of the cell vectors:
In 0.5000 0.5000 0.0000
In 0.0000 0.0000 0.0000
Ta 0.5000 0.0000 0.5000
Ba 0.0000 0.5000 0.5000